# 1
Entry from Alexandria via LeMat-Bulk: an optimized crystal structure of RbTi2Cd (GGA-PBE).

Cell: 4.661 4.661 22.300 Å, 90.00 90.00 90.00°
Space group I-42d (No. 122)
Inequivalent atoms, fractional coordinates:
Rb 0.000 0.000 0.000
Ti 0.061 0.250 0.625
Cd 0.000 0.000 0.500

Computed properties:
**Formation enthalpy at 0 K**: 1.053 eV/atom
**N(E_F)**: 1.2301 states/eV per atom
**Calculated total energy**: -3.365 eV per atom
**Total magnetic moment**: 0.000 μB/atom

# 2
Entry from Alexandria via LeMat-Bulk: an optimized crystal structure of RbTiCd2 (GGA-PBE).

Cell: 5.824 5.824 19.698 Å, 90.00 90.00 90.00°
Space group I-42d (No. 122)
Inequivalent atoms, fractional coordinates:
Rb 0.000 0.000 0.000
Ti 0.000 0.000 0.500
Cd 0.022 0.250 0.625

Computed properties:
**Formation enthalpy at 0 K**: 0.639 eV/atom
**N(E_F)**: 0.7398 states/eV per atom
**Distance to the lowest polymorph of the same formula**: 0 meV per atom
**Calculated total energy**: -2.034 eV per atom
**Total magnetic moment**: 0.685 μB/atom

# 3
Entry from Alexandria via LeMat-Bulk: an optimized crystal structure of Rb3TiCd (GGA-PBE).

Cell: 7.101 7.101 7.101 Å, 90.00 90.00 90.00°
Space group Pm-3m (No. 221)
Inequivalent atoms, fractional coordinates:
Rb 0.000 0.000 0.500
Ti 0.000 0.000 0.000
Cd 0.500 0.500 0.500

Computed properties:
**Formation enthalpy at 0 K**: 0.894 eV/atom
**N(E_F)**: 1.5656 states/eV per atom
**Distance to the lowest polymorph of the same formula**: 0 meV per atom
**Calculated total energy**: -1.449 eV per atom
**Total magnetic moment**: 0.958 μB/atom

# 4
Entry from Alexandria via LeMat-Bulk: an optimized crystal structure of RbTiCd3 (GGA-PBE).

Cell: 6.358 6.358 6.358 Å, 90.00 90.00 90.00°
Space group Pm-3m (No. 221)
Inequivalent atoms, fractional coordinates:
Rb 0.000 0.000 0.000
Ti 0.500 0.500 0.500
Cd 0.000 0.000 0.500

Computed properties:
**Formation enthalpy at 0 K**: 1.270 eV/atom
**N(E_F)**: 0.3806 states/eV per atom
**Distance to the lowest polymorph of the same formula**: 891 meV per atom
**Calculated total energy**: -1.051 eV per atom
**Total magnetic moment**: 0.605 μB/atom

# 5
Entry from Alexandria via LeMat-Bulk: an optimized crystal structure of RbTiCd2 (GGA-PBE).

Cell: 7.632 7.632 7.632 Å, 90.00 90.00 90.00°
Space group Fm-3m (No. 225)
Inequivalent atoms, fractional coordinates:
Rb 0.000 0.000 0.000
Ti 0.000 0.000 0.500
Cd 0.250 0.250 0.250

Computed properties:
**Formation enthalpy at 0 K**: 0.659 eV/atom
**N(E_F)**: 1.2679 states/eV per atom
**Distance to the lowest polymorph of the same formula**: 20 meV per atom
**Calculated total energy**: -2.014 eV per atom
**Total magnetic moment**: 0.000 μB/atom

# 6
Entry from Alexandria via LeMat-Bulk: an optimized crystal structure of RbTiCd3 (GGA-PBE).

Cell: 5.614 5.614 5.614 Å, 90.00 90.00 90.00°
Space group Pm-3m (No. 221)
Inequivalent atoms, fractional coordinates:
Rb 0.000 0.000 0.000
Ti 0.500 0.500 0.500
Cd 0.000 0.500 0.500

Computed properties:
**Formation enthalpy at 0 K**: 0.379 eV/atom
**N(E_F)**: 1.0919 states/eV per atom
**Distance to the lowest polymorph of the same formula**: 0 meV per atom
**Calculated total energy**: -1.943 eV per atom
**Total magnetic moment**: 0.665 μB/atom

> Which value of total magnetic moment does entry 5 give?

0.000 μB/atom

> Among the records above, which one has the highest calculated total energy?

number 4